## SbOsS (PBE-GGA)

Data for a relaxed SbOsS crystal.

The structure in POSCAR format:
```
SbOsS
1.0
6.273 0.000 0.000
0.000 6.190 0.000
-2.309 0.000 5.841
Sb Os S
4 4 4
Direct
0.148 0.130 0.372 Sb
0.148 0.370 0.872 Sb
0.852 0.630 0.128 Sb
0.852 0.870 0.628 Sb
0.296 0.514 0.302 Os
0.296 0.986 0.802 Os
0.704 0.014 0.198 Os
0.704 0.486 0.698 Os
0.354 0.633 0.680 S
0.354 0.867 0.180 S
0.646 0.133 0.820 S
0.646 0.367 0.320 S
```

ρ ... 10.08 g cm⁻³
Final energy ... -6.747 eV per atom
Volume ... 226.8 Å³ per cell
Spin magnetization ... 0.000 μB per atom


## OsSeS (PBE-GGA)

Data for a relaxed OsSeS crystal.

The structure in POSCAR format:
```
OsSeS
1.0
3.525 0.000 0.000
0.000 10.292 2.814
0.000 -10.292 2.814
Os Se S
2 2 2
Direct
0.000 0.000 0.000 Os
0.500 0.382 0.382 Os
0.500 0.706 0.838 Se
0.500 0.838 0.706 Se
0.000 0.233 0.384 S
0.000 0.384 0.233 S
```

ρ ... 4.90 g cm⁻³
Final energy ... -6.320 eV per atom
Volume ... 204.2 Å³ per cell
Spin magnetization ... 0.001 μB per atom


## Os2SeS3 (PBE-GGA)

Data for a relaxed Os2SeS3 crystal.

The structure in POSCAR format:
```
Os2SeS3
1.0
5.541 0.000 0.000
0.000 3.482 0.000
-2.705 0.000 8.475
Os Se S
2 1 3
Direct
0.000 0.000 0.000 Os
0.392 0.500 0.001 Os
0.696 0.000 0.167 Se
0.171 0.500 0.186 S
0.545 0.000 0.857 S
0.987 0.500 0.816 S
```

ρ ... 5.64 g cm⁻³
Final energy ... -6.409 eV per atom
Volume ... 163.5 Å³ per cell
Spin magnetization ... 0.001 μB per atom


## OsSeS (PBE-GGA)

Data for a relaxed OsSeS crystal.

The structure in POSCAR format:
```
OsSeS
1.0
1.762 -10.347 0.000
1.762 10.347 0.000
0.000 0.000 5.621
Os Se S
2 2 2
Direct
0.000 0.000 0.000 Os
0.500 0.500 0.383 Os
0.066 0.934 0.611 Se
0.934 0.066 0.611 Se
0.425 0.575 0.073 S
0.575 0.425 0.073 S
```

ρ ... 4.88 g cm⁻³
Final energy ... -6.321 eV per atom
Volume ... 204.9 Å³ per cell
Spin magnetization ... 0.000 μB per atom


## Sn10OsS10 (PBE-GGA)

Data for a relaxed Sn10OsS10 crystal.

The structure in POSCAR format:
```
Sn10OsS10
1.0
10.895 0.000 0.000
0.000 14.139 0.000
0.000 0.000 7.507
Sn Os S
20 2 20
Direct
0.000 0.000 0.249 Sn
0.000 0.000 0.751 Sn
0.135 0.420 0.247 Sn
0.135 0.420 0.753 Sn
0.153 0.651 0.500 Sn
0.203 0.725 0.000 Sn
0.297 0.225 0.000 Sn
0.347 0.151 0.500 Sn
0.365 0.920 0.247 Sn
0.365 0.920 0.753 Sn
0.500 0.500 0.249 Sn
0.500 0.500 0.751 Sn
0.635 0.080 0.247 Sn
0.635 0.080 0.753 Sn
0.653 0.849 0.500 Sn
0.703 0.775 0.000 Sn
0.797 0.275 0.000 Sn
0.847 0.349 0.500 Sn
0.865 0.580 0.247 Sn
0.865 0.580 0.753 Sn
0.000 0.500 0.500 Os
0.500 0.000 0.500 Os
0.050 0.310 0.000 S
0.120 0.095 0.500 S
0.164 0.832 0.282 S
0.164 0.832 0.718 S
0.227 0.517 0.000 S
0.273 0.017 0.000 S
0.336 0.332 0.282 S
0.336 0.332 0.718 S
0.380 0.595 0.500 S
0.450 0.810 0.000 S
0.550 0.190 0.000 S
0.620 0.405 0.500 S
0.664 0.668 0.282 S
0.664 0.668 0.718 S
0.727 0.983 0.000 S
0.773 0.483 0.000 S
0.836 0.168 0.282 S
0.836 0.168 0.718 S
0.880 0.905 0.500 S
0.950 0.690 0.000 S
```

ρ ... 4.88 g cm⁻³
Final energy ... -4.662 eV per atom
Volume ... 1156.3 Å³ per cell
Spin magnetization ... 0.001 μB per atom


## SrOsS3 (PBE-GGA)

Data for a relaxed SrOsS3 crystal.

The structure in POSCAR format:
```
SrOsS3
1.0
7.261 -3.524 0.000
7.261 3.524 0.000
-1.092 0.000 4.842
Sr Os S
2 2 6
Direct
0.168 0.168 0.160 Sr
0.832 0.832 0.840 Sr
0.442 0.442 0.301 Os
0.558 0.558 0.699 Os
0.100 0.585 0.345 S
0.293 0.707 0.000 S
0.415 0.900 0.655 S
0.585 0.100 0.345 S
0.707 0.293 0.000 S
0.900 0.415 0.655 S
```

ρ ... 5.01 g cm⁻³
Final energy ... -5.868 eV per atom
Volume ... 247.8 Å³ per cell
Spin magnetization ... 0.000 μB per atom


## Sr2YOsS6 (PBE-GGA)

Data for a relaxed Sr2YOsS6 crystal.

The structure in POSCAR format:
```
Sr2YOsS6
1.0
6.756 0.000 0.000
3.359 6.023 0.000
3.232 1.948 5.800
Sr Y Os S
2 1 1 6
Direct
0.238 0.254 0.272 Sr
0.762 0.746 0.728 Sr
0.000 0.000 0.000 Y
0.500 0.500 0.500 Os
0.203 0.323 0.691 S
0.224 0.806 0.663 S
0.366 0.718 0.169 S
0.634 0.282 0.831 S
0.776 0.194 0.337 S
0.797 0.677 0.309 S
```

ρ ... 4.55 g cm⁻³
Final energy ... -5.813 eV per atom
Volume ... 236.0 Å³ per cell
Spin magnetization ... 0.244 μB per atom


## Sr2ZnOsS6 (PBE-GGA)

Data for a relaxed Sr2ZnOsS6 crystal.

The structure in POSCAR format:
```
Sr2ZnOsS6
1.0
-3.093 3.093 5.577
3.093 -3.093 5.577
3.093 3.093 -5.577
Sr Zn Os S
2 1 1 6
Direct
0.250 0.750 0.500 Sr
0.750 0.250 0.500 Sr
0.000 0.000 0.000 Zn
0.500 0.500 0.000 Os
0.147 0.356 0.503 S
0.279 0.279 0.000 S
0.356 0.853 0.210 S
0.644 0.147 0.790 S
0.721 0.721 0.000 S
0.853 0.644 0.497 S
```

ρ ... 4.85 g cm⁻³
Final energy ... -4.878 eV per atom
Volume ... 213.3 Å³ per cell
Spin magnetization ... 0.165 μB per atom


Which of these has the lowest volume?
Os2SeS3


Look up the volume of the first one.
226.8 Å³ per cell